(1)
{
  "formula": "BAsNF2",
  "functional": "PBE-GGA",
  "state": "relaxed",
  "cell": [[4.219, 0.000, 0.000], [0.000, 4.219, 0.000], [0.000, 0.000, 3.722]],
  "species": ["B", "As", "N", "F", "F"],
  "fractional_positions": [[0.000, 0.000, 0.000], [0.500, 0.500, 0.500], [0.500, 0.500, 0.000], [0.000, 0.500, 0.500], [0.500, 0.000, 0.500]],
  "volume_a3_per_atom": 13.25,
  "de_polymorph_mev_per_atom": 998,
  "total_energy_ev_per_cell": -21.0,
  "formation_energy_uncorrected_mev_per_atom": 469.6,
  "dos_at_fermi_per_ev_cell": 0.133
}

(2)
{
  "formula": "BAsN2F",
  "functional": "PBE-GGA",
  "state": "relaxed",
  "cell": [[3.495, 0.000, 0.000], [0.000, 3.495, 0.000], [0.000, 0.000, 3.434]],
  "species": ["B", "As", "N", "N", "F"],
  "fractional_positions": [[0.000, 0.000, 0.000], [0.500, 0.500, 0.500], [0.000, 0.500, 0.000], [0.500, 0.000, 0.000], [0.000, 0.000, 0.500]],
  "volume_a3_per_atom": 8.39,
  "de_polymorph_mev_per_atom": 0,
  "total_energy_ev_per_cell": -26.8,
  "formation_energy_uncorrected_mev_per_atom": 607.8,
  "dos_at_fermi_per_ev_cell": 2.104
}

(3)
{
  "formula": "BAsN2F",
  "functional": "PBE-GGA",
  "state": "relaxed",
  "cell": [[3.719, 0.000, 0.000], [0.000, 3.719, 0.000], [0.000, 0.000, 4.004]],
  "species": ["B", "As", "N", "N", "F"],
  "fractional_positions": [[0.000, 0.000, 0.000], [0.500, 0.500, 0.500], [0.000, 0.500, 0.500], [0.500, 0.000, 0.500], [0.500, 0.500, 0.000]],
  "volume_a3_per_atom": 11.08,
  "de_polymorph_mev_per_atom": 831,
  "total_energy_ev_per_cell": -22.7,
  "formation_energy_uncorrected_mev_per_atom": 1438.5,
  "dos_at_fermi_per_ev_cell": 0.659
}